1.
Below is a relaxed structure of Ho3ScAl, with properties calculated at the GGA-PBE level.

The structure in POSCAR format:
```
Ho3ScAl
1.0
-5.325 -3.061 2.768
2.409 -7.197 -3.323
6.037 -4.529 6.608
Ho Sc Al
12 4 4
Direct
0.500 0.224 0.194
0.250 0.594 0.101
0.000 0.776 0.806
0.500 0.776 0.306
0.500 0.224 0.694
0.000 0.776 0.306
0.000 0.224 0.694
0.500 0.776 0.806
0.750 0.406 0.899
0.750 0.406 0.399
0.000 0.224 0.194
0.250 0.594 0.601
0.250 0.015 0.996
0.750 0.985 0.004
0.750 0.985 0.504
0.250 0.015 0.496
0.750 0.609 0.098
0.250 0.391 0.902
0.250 0.391 0.402
0.750 0.609 0.598
```

total energy = -4.90 eV/atom

---

2.
Below is a relaxed structure of Ho8ScAl2, with properties calculated at the GGA-PBE level.

The structure in POSCAR format:
```
Ho8ScAl2
1.0
5.435 -0.292 -0.438
-1.333 8.344 -0.575
-1.333 -3.745 7.478
Al Ho Sc
2 8 1
Direct
0.000 0.307 0.693
0.000 0.693 0.307
0.298 0.607 0.607
0.113 0.325 0.090
0.887 0.675 0.910
0.500 0.218 0.782
0.113 0.090 0.325
0.500 0.782 0.218
0.702 0.393 0.393
0.887 0.910 0.675
0.500 0.000 0.000
```

total energy = -4.58 eV/atom

---

- total energy of number 2 (Ho8ScAl2)?
  -4.58 eV/atom